# La2ScTlNi GGA-PBE optimized geometry
data_La2ScTlNi
_space_group_name_H-M_alt 'P 4/m m m'
_space_group_IT_number 123
_space_group_name_Hall '-P 4 2'
_cell_length_a 5.302
_cell_length_b 5.302
_cell_length_c 5.171
_cell_angle_alpha 90.00
_cell_angle_beta 90.00
_cell_angle_gamma 90.00
loop_
_atom_site_label
_atom_site_type_symbol
_atom_site_fract_x
_atom_site_fract_y
_atom_site_fract_z
La1 La 0.000 0.500 0.000
Sc1 Sc 0.000 0.000 0.500
Tl1 Tl 0.500 0.500 0.500
Ni1 Ni 0.000 0.000 0.000
# **Total DFT energy (no corrections)**: -5.07 eV/atom

=====

# LaY2ScNi GGA-PBE optimized geometry
data_LaY2ScNi
_space_group_name_H-M_alt 'P 4/m m m'
_space_group_IT_number 123
_space_group_name_Hall '-P 4 2'
_cell_length_a 5.391
_cell_length_b 5.391
_cell_length_c 5.543
_cell_angle_alpha 90.00
_cell_angle_beta 90.00
_cell_angle_gamma 90.00
loop_
_atom_site_label
_atom_site_type_symbol
_atom_site_fract_x
_atom_site_fract_y
_atom_site_fract_z
La1 La 0.000 0.000 0.000
Y1 Y 0.000 0.500 0.500
Sc1 Sc 0.000 0.000 0.500
Ni1 Ni 0.500 0.500 0.000
# **Distance to the lowest polymorph of the same formula**: 1110 meV per atom
# **Total DFT energy (no corrections)**: -4.97 eV/atom

=====

# LaY2ScNi GGA-PBE optimized geometry
data_LaY2ScNi
_space_group_name_H-M_alt 'P 4/m m m'
_space_group_IT_number 123
_space_group_name_Hall '-P 4 2'
_cell_length_a 5.326
_cell_length_b 5.326
_cell_length_c 5.138
_cell_angle_alpha 90.00
_cell_angle_beta 90.00
_cell_angle_gamma 90.00
loop_
_atom_site_label
_atom_site_type_symbol
_atom_site_fract_x
_atom_site_fract_y
_atom_site_fract_z
La1 La 0.000 0.000 0.000
Y1 Y 0.000 0.500 0.500
Sc1 Sc 0.500 0.500 0.000
Ni1 Ni 0.500 0.500 0.500
# **Distance to the lowest polymorph of the same formula**: 0 meV per atom
# **Total DFT energy (no corrections)**: -6.08 eV/atom

=====

# La2ScZn3Ni12 GGA-PBE optimized geometry
data_La2ScZn3Ni12
_space_group_name_H-M_alt 'R -3 m'
_space_group_IT_number 166
_space_group_name_Hall '-R 3 2"'
_cell_length_a 8.5880
_cell_length_b 8.5880
_cell_length_c 12.2295
_cell_angle_alpha 90.00
_cell_angle_beta 90.00
_cell_angle_gamma 120.00
loop_
_atom_site_label
_atom_site_type_symbol
_atom_site_fract_x
_atom_site_fract_y
_atom_site_fract_z
La1 La 0.0000 0.0000 0.1563
Sc1 Sc 0.0000 0.0000 0.5000
Zn1 Zn 0.0000 0.5000 0.0000
Ni1 Ni 0.0016 0.5008 0.6058
Ni2 Ni 0.0109 0.5055 0.2009
# **Total DFT energy (no corrections)**: -5.06 eV/atom

=====

# LaNi2Se GGA-PBE optimized geometry
data_LaNi2Se
_space_group_name_H-M_alt 'I m m 2'
_space_group_IT_number 44
_space_group_name_Hall 'I 2 -2'
_cell_length_a 4.270
_cell_length_b 5.650
_cell_length_c 6.482
_cell_angle_alpha 90.00
_cell_angle_beta 90.00
_cell_angle_gamma 90.00
loop_
_atom_site_label
_atom_site_type_symbol
_atom_site_fract_x
_atom_site_fract_y
_atom_site_fract_z
La1 La 0.000 0.000 0.000
Ni1 Ni 0.000 0.000 0.498
Ni2 Ni 0.000 0.500 0.204
Se1 Se 0.000 0.500 0.842
# **Total DFT energy (no corrections)**: -5.44 eV/atom
# **E_form (uncorrected)**: -10.40 kcal/mol of atoms

=====

# LaNi2Se2 GGA-PBE optimized geometry
data_LaNi2Se2
_space_group_name_H-M_alt 'I 4/m m m'
_space_group_IT_number 139
_space_group_name_Hall '-I 4 2'
_cell_length_a 3.954
_cell_length_b 3.954
_cell_length_c 11.612
_cell_angle_alpha 90.00
_cell_angle_beta 90.00
_cell_angle_gamma 90.00
loop_
_atom_site_label
_atom_site_type_symbol
_atom_site_fract_x
_atom_site_fract_y
_atom_site_fract_z
La1 La 0.000 0.000 0.000
Ni1 Ni 0.000 0.500 0.250
Se1 Se 0.000 0.000 0.365
# **Distance to the lowest polymorph of the same formula**: 0 meV per atom
# **Total DFT energy (no corrections)**: -5.56 eV/atom
# **E_form (uncorrected)**: -19.92 kcal/mol of atoms

=====

# LaNi2Se GGA-PBE optimized geometry
data_LaNi2Se
_space_group_name_H-M_alt 'I -4 m 2'
_space_group_IT_number 119
_space_group_name_Hall 'I -4 -2'
_cell_length_a 4.367
_cell_length_b 4.367
_cell_length_c 7.858
_cell_angle_alpha 90.00
_cell_angle_beta 90.00
_cell_angle_gamma 90.00
loop_
_atom_site_label
_atom_site_type_symbol
_atom_site_fract_x
_atom_site_fract_y
_atom_site_fract_z
La1 La 0.000 0.000 0.000
Ni1 Ni 0.000 0.000 0.500
Ni2 Ni 0.000 0.500 0.750
Se1 Se 0.000 0.500 0.250
# **Total DFT energy (no corrections)**: -5.21 eV/atom
# **E_form (uncorrected)**: -4.90 kcal/mol of atoms

=====

# La2Ni2Se GGA-PBE optimized geometry
data_La2Ni2Se
_space_group_name_H-M_alt 'P 4/m b m'
_space_group_IT_number 127
_space_group_name_Hall '-P 4 2ab'
_cell_length_a 7.550
_cell_length_b 7.550
_cell_length_c 3.771
_cell_angle_alpha 90.00
_cell_angle_beta 90.00
_cell_angle_gamma 90.00
loop_
_atom_site_label
_atom_site_type_symbol
_atom_site_fract_x
_atom_site_fract_y
_atom_site_fract_z
La1 La 0.186 0.314 0.000
Ni1 Ni 0.112 0.612 0.500
Se1 Se 0.000 0.000 0.500
# **Total DFT energy (no corrections)**: -5.72 eV/atom
# **E_form (uncorrected)**: -17.08 kcal/mol of atoms

=====

Q: Which value of total DFT energy (no corrections) does entry 2 give?
A: -4.97 eV/atom

=====

Q: The highest total DFT energy (no corrections) belongs to which entry?
A: number 2

=====

Q: Among the records above, which one has the highest total DFT energy (no corrections)?
A: number 2